Record 1
# PuNi2Hg (PBE, relaxed)
data_PuNi2Hg
_chemical_formula_sum 'Pu1 Ni2 Hg1'
_cell_length_a 4.623
_cell_length_b 4.623
_cell_length_c 4.623
_cell_angle_alpha 60.00
_cell_angle_beta 60.00
_cell_angle_gamma 60.00
_symmetry_space_group_name_H-M 'P 1'
_symmetry_Int_Tables_number 1
loop_
_symmetry_equiv_pos_as_xyz
'x,y,z'
loop_
_atom_site_label
_atom_site_type_symbol
_atom_site_fract_x
_atom_site_fract_y
_atom_site_fract_z
_atom_site_occupancy
Ni1 Ni 0.750 0.750 0.750 1
Ni2 Ni 0.250 0.250 0.250 1
Hg1 Hg 0.500 0.500 0.500 1
Pu1 Pu 0.000 0.000 0.000 1
# Calculated total energy = -6.536 eV per atom

***

Record 2
# Pu2Ni2Hg (PBE, relaxed)
data_Pu2Ni2Hg
_chemical_formula_sum 'Pu2 Ni2 Hg1'
_cell_length_a 3.777
_cell_length_b 3.951
_cell_length_c 7.182
_cell_angle_alpha 105.97
_cell_angle_beta 90.00
_cell_angle_gamma 90.00
_symmetry_space_group_name_H-M 'P 1'
_symmetry_Int_Tables_number 1
loop_
_symmetry_equiv_pos_as_xyz
'x,y,z'
loop_
_atom_site_label
_atom_site_type_symbol
_atom_site_fract_x
_atom_site_fract_y
_atom_site_fract_z
_atom_site_occupancy
Pu1 Pu 0.500 0.639 0.278 1
Pu2 Pu 0.500 0.361 0.722 1
Ni1 Ni 0.000 0.197 0.394 1
Ni2 Ni 0.000 0.803 0.606 1
Hg1 Hg 0.000 0.000 0.000 1
# Calculated total energy = -8.261 eV per atom